UMoRu PBE optimized geometry; polymorph energy (0 for the lowest one) = 0.1087 eV per atom
1.0
4.4814 0.0000 0.0000
2.2407 3.8810 0.0000
2.2407 1.2937 6.3876
U Ru Mo
2 2 2
Cartesian
2.2407 1.2937 5.0034
6.7221 3.8810 1.3843
4.4814 2.5873 0.5972
4.4814 2.5873 5.7905
2.2407 1.2937 2.0839
6.7221 3.8810 4.3037

---

TaCdTe2 PBE optimized geometry; uncorrected formation energy = -0.153 eV per atom
1.0
-8.1327 -2.6902 5.5688
-5.4680 -4.1541 7.5653
-6.3396 -0.6480 7.9862
Cd Te Ta
1 2 1
Cartesian
-4.9851 -1.8731 5.2801
-0.4226 -0.1588 0.4476
-9.5475 -3.5874 10.1125
-14.9552 -5.6192 15.8402